Entry 1:
This record from the Alexandria database describes a relaxed structure of Ta2OsPb. The functional is GGA-PBEsol.

Calculated values
**Electronic total energy**: -9.9314 eV/atom
**Space group**: Cmmm
**D(E_F)**: 3.14 states/eV/f.u.
**Formation enthalpy at 0 K**: 398 meV/atom

Unit cell a=3.017 b=4.982 c=4.982 alpha=109.69 beta=90.00 gamma=90.00
Positions (direct):
Os 0.500 0.500 0.500
Pb 0.500 0.000 0.000
Ta 0.000 0.000 0.500
Ta 0.000 0.500 0.000

---

Entry 2:
This record from the Alexandria database describes a relaxed structure of BaBeSi3. The functional is GGA-PBEsol.

Calculated values
**ΔE_f (raw)**: 0.27 eV per atom
**Electronic total energy**: -4.4094 eV/atom
**Space group**: Pm-3m
**D(E_F)**: 1.87 states/eV/f.u.
**Relative energy among the computed polymorphs**: 0.0 kJ/mol of atoms

Unit cell a=4.610 b=4.610 c=4.610 alpha=90.00 beta=90.00 gamma=90.00
Positions (direct):
Be 0.000 0.000 0.000
Si 0.000 0.500 0.000
Si 0.000 0.000 0.500
Si 0.500 0.000 0.000
Ba 0.500 0.500 0.500

---

Entry 3:
This record from the Alexandria database describes a relaxed structure of Cs2KCd2. The functional is GGA-PBEsol.

Calculated values
**Electronic total energy**: -1.0466 eV/atom
**Space group**: P4/mbm
**D(E_F)**: 3.65 states/eV/f.u.
**Formation enthalpy at 0 K**: 36 meV/atom

Unit cell a=5.651 b=9.477 c=9.477 alpha=90.00 beta=90.00 gamma=90.00
Positions (direct):
Cs 0.500 0.176 0.676
Cs 0.500 0.676 0.824
Cs 0.500 0.824 0.324
Cs 0.500 0.324 0.176
K 0.000 0.000 0.000
K 0.000 0.500 0.500
Cd 0.000 0.390 0.890
Cd 0.000 0.890 0.610
Cd 0.000 0.610 0.110
Cd 0.000 0.110 0.390

---

Entry 4:
This record from the Alexandria database describes a relaxed structure of Li2SiAg. The functional is GGA-PBEsol.

Calculated values
**ΔE_f (raw)**: -0.06 eV per atom
**Electronic total energy**: -3.3109 eV/atom
**Space group**: P4mm
**D(E_F)**: 1.69 states/eV/f.u.

Unit cell a=3.213 b=3.213 c=5.861 alpha=90.00 beta=90.00 gamma=90.00
Positions (direct):
Si 0.000 0.000 0.503
Ag 0.500 0.500 0.740
Li 0.000 0.000 0.995
Li 0.500 0.500 0.261

---

Entry 5:
This record from the Alexandria database describes a relaxed structure of YRe. The functional is GGA-PBEsol.

Calculated values
**Electronic total energy**: -8.0405 eV/atom
**Space group**: P6_3/mmc
**D(E_F)**: 2.99 states/eV/f.u.
**Formation enthalpy at 0 K**: 2037 meV/atom

Unit cell a=4.807 b=4.807 c=5.564 alpha=90.00 beta=90.00 gamma=120.00
Positions (direct):
Re 0.667 0.333 0.250
Re 0.333 0.667 0.750
Y 0.667 0.333 0.750
Y 0.333 0.667 0.250

---

Entry 6:
This record from the Alexandria database describes a relaxed structure of ScMn4Br. The functional is GGA-PBEsol.

Calculated values
**ΔE_f (raw)**: 0.51 eV per atom
**Electronic total energy**: -7.4105 eV/atom
**Space group**: F-43m
**D(E_F)**: 9.32 states/eV/f.u.

Unit cell a=4.824 b=4.824 c=4.824 alpha=60.00 beta=60.00 gamma=60.00
Positions (direct):
Br 0.000 0.000 0.000
Mn 0.374 0.374 0.374
Mn 0.374 0.374 0.877
Mn 0.877 0.374 0.374
Mn 0.374 0.877 0.374
Sc 0.750 0.750 0.750

---

Entry 7:
This record from the Alexandria database describes a relaxed structure of TaMo6. The functional is GGA-PBEsol.

Calculated values
**Electronic total energy**: -11.9155 eV/atom
**Space group**: Fmmm
**D(E_F)**: 3.57 states/eV/f.u.
**Relative energy among the computed polymorphs**: 3.7 kJ/mol of atoms
**Formation enthalpy at 0 K**: -36 meV/atom

Unit cell a=2.731 b=2.731 c=15.605 alpha=93.33 beta=93.33 gamma=109.61
Positions (direct):
Mo 0.574 0.574 0.147
Mo 0.144 0.144 0.288
Mo 0.715 0.715 0.429
Mo 0.285 0.285 0.571
Mo 0.856 0.856 0.712
Mo 0.426 0.426 0.853
Ta 0.000 0.000 0.000

---

Entry 8:
This record from the Alexandria database describes a relaxed structure of KCa12Si4S2O26F. The functional is GGA-PBEsol.

Calculated values
**ΔE_f (raw)**: -2.88 eV per atom
**Electronic total energy**: -7.1586 eV/atom
**Space group**: R-3m
**D(E_F)**: 0.00 states/eV/f.u.

Unit cell a=7.163 b=7.163 c=14.257 alpha=75.45 beta=75.45 gamma=60.00
Positions (direct):
K 0.000 0.000 0.000
Ca 0.917 0.444 0.195
Ca 0.775 0.312 0.601
Ca 0.444 0.444 0.195
Ca 0.312 0.775 0.601
Ca 0.688 0.225 0.399
Ca 0.556 0.083 0.805
Ca 0.444 0.917 0.195
Ca 0.556 0.556 0.805
Ca 0.225 0.688 0.399
Ca 0.312 0.312 0.601
Ca 0.688 0.688 0.399
Ca 0.083 0.556 0.805
Si 0.204 0.204 0.388
Si 0.917 0.917 0.249
Si 0.083 0.083 0.751
Si 0.796 0.796 0.612
S 0.323 0.323 0.031
S 0.677 0.677 0.969
O 0.124 0.124 0.629
O 0.198 0.198 0.068
O 0.681 0.681 0.576
O 0.432 0.432 0.705
O 0.802 0.464 0.932
O 0.802 0.802 0.932
O 0.800 0.182 0.218
O 0.681 0.061 0.576
O 0.464 0.802 0.932
O 0.939 0.319 0.424
O 0.182 0.800 0.218
O 0.198 0.536 0.068
O 0.818 0.200 0.782
O 0.800 0.800 0.218
O 0.568 0.568 0.295
O 0.061 0.681 0.576
O 0.640 0.640 0.079
O 0.245 0.245 0.266
O 0.536 0.198 0.068
O 0.200 0.200 0.782
O 0.200 0.818 0.782
O 0.876 0.876 0.371
O 0.360 0.360 0.921
O 0.319 0.319 0.424
O 0.755 0.755 0.734
O 0.319 0.939 0.424
F 0.500 0.500 0.500

---

Q: Among the records above, which one has the highest electronic total energy?
A: Cs2KCd2

---

Q: What is the formula in the fifth record?
A: YRe